No. 1
Here is AlCrTe3 after structural relaxation from the Alexandria database. Energies are from PBE.

The value obtained for the energy above the most stable polymorph in this dataset is 650 meV/atom. The value obtained for the density of states at the Fermi level is 6.133 states/eV/cell. Its total energy is -20.90 eV for the cell shown. The uncorrected formation energy comes out at 36 kJ per mole of atoms. The calculated volume comes out at 28.7 Å³ per atom.

a b c (Å): 5.2335 5.2335 5.2335
angles (deg): 90.00 90.00 90.00
Element x y z (fractional)
1 Te 0.0000 0.5000 0.0000
2 Cr 0.0000 0.0000 0.0000
3 Al 0.5000 0.5000 0.5000
4 Te 0.5000 0.0000 0.0000
5 Te 0.0000 0.0000 0.5000

No. 2
Here is AlCrTe after structural relaxation from the Alexandria database. Energies are from PBE.

The value obtained for the energy above the most stable polymorph in this dataset is 8 meV/atom. The value obtained for the density of states at the Fermi level is 2.397 states/eV/cell. Its total energy is -15.79 eV for the cell shown. The uncorrected formation energy comes out at 23 kJ per mole of atoms. The calculated volume comes out at 21.1 Å³ per atom.

a b c (Å): 4.4766 4.4766 4.4766
angles (deg): 60.00 60.00 60.00
Element x y z (fractional)
1 Te 0.0000 0.0000 0.0000
2 Al 0.5000 0.5000 0.5000
3 Cr 0.7500 0.7500 0.7500

No. 3
Here is AlCrTe after structural relaxation from the Alexandria database. Energies are from PBE.

The value obtained for the energy above the most stable polymorph in this dataset is 0 meV/atom. The value obtained for the density of states at the Fermi level is 1.854 states/eV/cell. Its total energy is -15.81 eV for the cell shown. The uncorrected formation energy comes out at 22 kJ per mole of atoms. The calculated volume comes out at 18.7 Å³ per atom.

a b c (Å): 3.2636 3.2636 6.0953
angles (deg): 90.00 90.00 120.00
Element x y z (fractional)
1 Al 0.0000 0.0000 0.0427
2 Te 0.3333 0.6667 0.6241
3 Cr 0.6667 0.3333 0.3331

No. 4
Here is AlCr2Te after structural relaxation from the Alexandria database. Energies are from PBE.

The value obtained for the energy above the most stable polymorph in this dataset is 176 meV/atom. The value obtained for the density of states at the Fermi level is 2.145 states/eV/cell. Its total energy is -24.64 eV for the cell shown. The uncorrected formation energy comes out at 36 kJ per mole of atoms. The calculated volume comes out at 16.1 Å³ per atom.

a b c (Å): 4.7156 4.7156 4.7156
angles (deg): 127.35 127.35 77.68
Element x y z (fractional)
1 Te 0.2500 0.7500 0.5000
2 Cr 0.0000 0.0000 0.0000
3 Al 0.7500 0.2500 0.5000
4 Cr 0.5000 0.5000 0.0000

No. 5
Here is AlCrTe4 after structural relaxation from the Alexandria database. Energies are from PBE.

The value obtained for the energy above the most stable polymorph in this dataset is 0 meV/atom. The value obtained for the density of states at the Fermi level is 4.214 states/eV/cell. Its total energy is -27.10 eV for the cell shown. The uncorrected formation energy comes out at -19 kJ per mole of atoms. The calculated volume comes out at 27.8 Å³ per atom.

a b c (Å): 3.8422 6.8957 6.6018
angles (deg): 107.34 90.00 90.00
Element x y z (fractional)
1 Te 0.0000 0.7692 0.2552
2 Te 0.5000 0.2457 0.2500
3 Te 0.0000 0.2308 0.7448
4 Te 0.5000 0.7543 0.7500
5 Al 0.0000 0.5000 0.5000
6 Cr 0.5000 0.0000 0.5000

No. 6
Here is AlCrTe3 after structural relaxation from the Alexandria database. Energies are from PBE.

The value obtained for the energy above the most stable polymorph in this dataset is 0 meV/atom. The value obtained for the density of states at the Fermi level is 0.283 states/eV/cell. Its total energy is -48.30 eV for the cell shown. The uncorrected formation energy comes out at -26 kJ per mole of atoms. The calculated volume comes out at 32.3 Å³ per atom.

a b c (Å): 4.0738 6.8966 12.6567
angles (deg): 114.72 90.00 90.00
Element x y z (fractional)
1 Te 0.2500 0.5941 0.7276
2 Cr 0.2500 0.1275 0.1590
3 Cr 0.7500 0.8725 0.8410
4 Te 0.7500 0.4059 0.2724
5 Te 0.7500 0.9888 0.6543
6 Te 0.2500 0.0112 0.3457
7 Al 0.2500 0.2440 0.7566
8 Al 0.7500 0.7560 0.2434
9 Te 0.7500 0.8343 0.0523
10 Te 0.2500 0.1657 0.9477

No. 7
Here is AlCr2Te after structural relaxation from the Alexandria database. Energies are from PBE.

The value obtained for the energy above the most stable polymorph in this dataset is 228 meV/atom. The value obtained for the density of states at the Fermi level is 3.652 states/eV/cell. Its total energy is -24.43 eV for the cell shown. The uncorrected formation energy comes out at 41 kJ per mole of atoms. The calculated volume comes out at 18.2 Å³ per atom.

a b c (Å): 5.0754 3.2821 4.3748
angles (deg): 90.00 90.00 90.00
Element x y z (fractional)
1 Al 0.5000 0.8750 0.7627
2 Cr 0.0000 0.8750 0.9986
3 Cr 0.5000 0.3751 0.2480
4 Te 0.0000 0.3749 0.4907

No. 8
Here is AlCrTe after structural relaxation from the Alexandria database. Energies are from PBE.

The value obtained for the energy above the most stable polymorph in this dataset is 29 meV/atom. The value obtained for the density of states at the Fermi level is 3.374 states/eV/cell. Its total energy is -31.45 eV for the cell shown. The uncorrected formation energy comes out at 25 kJ per mole of atoms. The calculated volume comes out at 19.2 Å³ per atom.

a b c (Å): 3.2935 3.2935 12.2584
angles (deg): 90.00 90.00 120.00
Element x y z (fractional)
1 Cr 0.4449 0.8898 0.0000
2 Te 0.1116 0.2232 0.1468
3 Cr 0.4439 0.8879 0.5000
4 Al 0.7773 0.5546 0.3539
5 Al 0.7773 0.5546 0.6461
6 Te 0.1116 0.2232 0.8532

No. 9
Here is Al4CrTe after structural relaxation from the Alexandria database. Energies are from PBE.

The value obtained for the density of states at the Fermi level is 3.445 states/eV/cell. Its total energy is -25.91 eV for the cell shown. The uncorrected formation energy comes out at 29 kJ per mole of atoms. The calculated volume comes out at 18.4 Å³ per atom.

a b c (Å): 5.3805 5.3805 5.3805
angles (deg): 60.00 60.00 60.00
Element x y z (fractional)
1 Te 0.0000 0.0000 0.0000
2 Al 0.3763 0.3763 0.8710
3 Al 0.8710 0.3763 0.3763
4 Cr 0.7500 0.7500 0.7500
5 Al 0.3763 0.3763 0.3763
6 Al 0.3763 0.8710 0.3763

No. 10
Here is AlCr2Te after structural relaxation from the Alexandria database. Energies are from PBE.

The value obtained for the energy above the most stable polymorph in this dataset is 148 meV/atom. The value obtained for the density of states at the Fermi level is 2.724 states/eV/cell. Its total energy is -24.75 eV for the cell shown. The uncorrected formation energy comes out at 33 kJ per mole of atoms. The calculated volume comes out at 17.1 Å³ per atom.

a b c (Å): 5.3255 5.3255 5.3255
angles (deg): 137.39 137.39 61.84
Element x y z (fractional)
1 Te 0.5000 0.5000 0.0000
2 Al 0.7500 0.2500 0.5000
3 Cr 0.0000 0.0000 0.0000
4 Cr 0.2500 0.7500 0.5000

No. 11
Here is AlCr2Te after structural relaxation from the Alexandria database. Energies are from PBE.

The value obtained for the energy above the most stable polymorph in this dataset is 175 meV/atom. The value obtained for the density of states at the Fermi level is 4.012 states/eV/cell. Its total energy is -24.64 eV for the cell shown. The uncorrected formation energy comes out at 36 kJ per mole of atoms. The calculated volume comes out at 15.5 Å³ per atom.

a b c (Å): 4.3665 4.3668 3.2532
angles (deg): 90.00 90.00 90.69
Element x y z (fractional)
1 Cr 0.0000 0.0000 0.0000
2 Cr 0.5000 0.5000 0.0000
3 Te 0.5000 0.0000 0.5000
4 Al 0.0000 0.5000 0.5000

No. 12
Here is AlCr2Te after structural relaxation from the Alexandria database. Energies are from PBE.

The value obtained for the energy above the most stable polymorph in this dataset is 0 meV/atom. The value obtained for the density of states at the Fermi level is 1.090 states/eV/cell. Its total energy is -25.34 eV for the cell shown. The uncorrected formation energy comes out at 19 kJ per mole of atoms. The calculated volume comes out at 18.0 Å³ per atom.

a b c (Å): 3.0512 3.0512 7.7236
angles (deg): 90.00 90.00 90.00
Element x y z (fractional)
1 Cr 0.0000 0.0000 0.0302
2 Al 0.5000 0.5000 0.8499
3 Te 0.0000 0.0000 0.4140
4 Cr 0.5000 0.5000 0.2059

No. 13
Here is AlCrTe after structural relaxation from the Alexandria database. Energies are from PBE.

The value obtained for the energy above the most stable polymorph in this dataset is 262 meV/atom. The value obtained for the density of states at the Fermi level is 2.565 states/eV/cell. Its total energy is -15.03 eV for the cell shown. The uncorrected formation energy comes out at 48 kJ per mole of atoms. The calculated volume comes out at 20.0 Å³ per atom.

a b c (Å): 4.5223 4.5223 3.3910
angles (deg): 90.00 90.00 120.00
Element x y z (fractional)
1 Te 0.3333 0.6667 0.4997
2 Cr 0.6667 0.3333 0.4999
3 Al 0.0000 0.0000 0.0004

No. 14
Here is AlCr2Te after structural relaxation from the Alexandria database. Energies are from PBE.

The value obtained for the energy above the most stable polymorph in this dataset is 194 meV/atom. The value obtained for the density of states at the Fermi level is 2.922 states/eV/cell. Its total energy is -24.57 eV for the cell shown. The uncorrected formation energy comes out at 38 kJ per mole of atoms. The calculated volume comes out at 18.1 Å³ per atom.

a b c (Å): 4.5540 4.5540 5.1480
angles (deg): 76.63 76.63 44.47
Element x y z (fractional)
1 Cr 0.5016 0.5016 0.4843
2 Te 0.7500 0.7500 0.7500
3 Al 0.2500 0.2500 0.2500
4 Cr 0.9984 0.9984 0.0157

No. 15
Here is Al3CrTe after structural relaxation from the Alexandria database. Energies are from PBE.

The value obtained for the energy above the most stable polymorph in this dataset is 0 meV/atom. The value obtained for the density of states at the Fermi level is 5.114 states/eV/cell. Its total energy is -21.15 eV for the cell shown. The uncorrected formation energy comes out at 55 kJ per mole of atoms. The calculated volume comes out at 23.8 Å³ per atom.

a b c (Å): 4.9186 4.9186 4.9186
angles (deg): 90.00 90.00 90.00
Element x y z (fractional)
1 Al 0.5000 0.0000 0.0000
2 Cr 0.0000 0.0000 0.0000
3 Al 0.0000 0.5000 0.0000
4 Al 0.0000 0.0000 0.5000
5 Te 0.5000 0.5000 0.5000

No. 16
Here is AlCr2Te after structural relaxation from the Alexandria database. Energies are from PBE.

The value obtained for the energy above the most stable polymorph in this dataset is 190 meV/atom. The value obtained for the density of states at the Fermi level is 4.320 states/eV/cell. Its total energy is -24.58 eV for the cell shown. The uncorrected formation energy comes out at 37 kJ per mole of atoms. The calculated volume comes out at 15.7 Å³ per atom.

a b c (Å): 3.3089 3.3092 6.6087
angles (deg): 59.96 90.00 90.00
Element x y z (fractional)
1 Te 0.5000 0.2500 0.2500
2 Cr 0.0000 0.4482 0.5518
3 Cr 0.0000 0.0518 0.9482
4 Al 0.5000 0.7500 0.7500

No. 17
Here is AlCr3Te after structural relaxation from the Alexandria database. Energies are from PBE.

The value obtained for the energy above the most stable polymorph in this dataset is 236 meV/atom. The value obtained for the density of states at the Fermi level is 3.181 states/eV/cell. Its total energy is -29.62 eV for the cell shown. The uncorrected formation energy comes out at 118 kJ per mole of atoms. The calculated volume comes out at 27.1 Å³ per atom.

a b c (Å): 5.1383 5.1383 5.1383
angles (deg): 90.00 90.00 90.00
Element x y z (fractional)
1 Te 0.0000 0.0000 0.0000
2 Cr 0.5000 0.0000 0.0000
3 Al 0.5000 0.5000 0.5000
4 Cr 0.0000 0.0000 0.5000
5 Cr 0.0000 0.5000 0.0000

No. 18
Here is AlCrTe4 after structural relaxation from the Alexandria database. Energies are from PBE.

The value obtained for the energy above the most stable polymorph in this dataset is 906 meV/atom. The value obtained for the density of states at the Fermi level is 3.714 states/eV/cell. Its total energy is -21.67 eV for the cell shown. The uncorrected formation energy comes out at 69 kJ per mole of atoms. The calculated volume comes out at 30.6 Å³ per atom.

a b c (Å): 6.3796 6.3796 6.3796
angles (deg): 60.00 60.00 60.00
Element x y z (fractional)
1 Te 0.3746 0.3746 0.3746
2 Cr 0.0000 0.0000 0.0000
3 Te 0.3746 0.8761 0.3746
4 Te 0.8761 0.3746 0.3746
5 Te 0.3746 0.3746 0.8761
6 Al 0.7500 0.7500 0.7500

No. 19
Here is AlCr2Te after structural relaxation from the Alexandria database. Energies are from PBE.

The value obtained for the energy above the most stable polymorph in this dataset is 262 meV/atom. The value obtained for the density of states at the Fermi level is 2.887 states/eV/cell. Its total energy is -24.30 eV for the cell shown. The uncorrected formation energy comes out at 44 kJ per mole of atoms. The calculated volume comes out at 17.4 Å³ per atom.

a b c (Å): 4.6204 4.6204 4.6204
angles (deg): 60.00 60.00 60.00
Element x y z (fractional)
1 Cr 0.7500 0.7500 0.7500
2 Te 0.2500 0.2500 0.2500
3 Al 0.5000 0.5000 0.5000
4 Cr 0.0000 0.0000 0.0000

No. 20
Here is AlCr3Te after structural relaxation from the Alexandria database. Energies are from PBE.

The value obtained for the energy above the most stable polymorph in this dataset is 0 meV/atom. The value obtained for the density of states at the Fermi level is 4.527 states/eV/cell. Its total energy is -30.80 eV for the cell shown. The uncorrected formation energy comes out at 96 kJ per mole of atoms. The calculated volume comes out at 21.9 Å³ per atom.

a b c (Å): 4.7839 4.7839 4.7839
angles (deg): 90.00 90.00 90.00
Element x y z (fractional)
1 Cr 0.5000 0.0000 0.0000
2 Te 0.5000 0.5000 0.5000
3 Cr 0.0000 0.0000 0.5000
4 Cr 0.0000 0.5000 0.0000
5 Al 0.0000 0.0000 0.0000